# 1
{
  "formula": "BaHgRu2O8",
  "functional": "GGA-PBE",
  "state": "optimized geometry",
  "lattice_angstrom": [[4.433, -3.188, 0.000], [4.433, 3.188, 0.000], [-0.894, 0.000, 8.201]],
  "species": ["Ba", "Hg", "Ru", "Ru", "O", "O", "O", "O", "O", "O", "O", "O"],
  "frac_coords": [[0.000, 0.000, 0.000], [0.000, 0.000, 0.500], [0.385, 0.385, 0.733], [0.615, 0.615, 0.267], [0.253, 0.730, 0.737], [0.259, 0.259, 0.549], [0.270, 0.747, 0.263], [0.285, 0.285, 0.910], [0.715, 0.715, 0.090], [0.730, 0.253, 0.737], [0.741, 0.741, 0.451], [0.747, 0.270, 0.263]],
  "spacegroup": "C2/m (12)",
  "raw_formation_energy_ev_per_atom": -1.030
}

# 2
{
  "formula": "KB5H8O12",
  "functional": "GGA-PBE",
  "state": "optimized geometry",
  "lattice_angstrom": [[11.149, 0.000, 0.000], [0.000, 5.504, 4.649], [0.000, -5.504, 4.649]],
  "species": ["K", "K", "B", "B", "B", "B", "B", "B", "B", "B", "B", "B", "H", "H", "H", "H", "H", "H", "H", "H", "H", "H", "H", "H", "H", "H", "H", "H", "O", "O", "O", "O", "O", "O", "O", "O", "O", "O", "O", "O", "O", "O", "O", "O", "O", "O", "O", "O", "O", "O", "O", "O"],
  "frac_coords": [[0.000, 0.000, 0.000], [0.500, 0.500, 0.500], [0.000, 0.588, 0.588], [0.190, 0.774, 0.585], [0.204, 0.438, 0.558], [0.296, 0.938, 0.058], [0.310, 0.274, 0.085], [0.500, 0.088, 0.088], [0.690, 0.085, 0.274], [0.704, 0.058, 0.938], [0.796, 0.558, 0.438], [0.810, 0.585, 0.774], [0.011, 0.969, 0.482], [0.019, 0.189, 0.475], [0.161, 0.428, 0.085], [0.249, 0.165, 0.552], [0.251, 0.665, 0.052], [0.339, 0.928, 0.585], [0.481, 0.689, 0.975], [0.489, 0.469, 0.982], [0.511, 0.982, 0.469], [0.519, 0.975, 0.689], [0.661, 0.585, 0.928], [0.749, 0.052, 0.665], [0.751, 0.552, 0.165], [0.839, 0.085, 0.428], [0.981, 0.475, 0.189], [0.989, 0.482, 0.969], [0.018, 0.414, 0.069], [0.067, 0.768, 0.596], [0.082, 0.422, 0.566], [0.218, 0.790, 0.040], [0.241, 0.112, 0.065], [0.248, 0.943, 0.593], [0.252, 0.443, 0.093], [0.259, 0.612, 0.565], [0.282, 0.290, 0.540], [0.418, 0.922, 0.066], [0.433, 0.268, 0.096], [0.482, 0.914, 0.569], [0.518, 0.569, 0.914], [0.567, 0.096, 0.268], [0.582, 0.066, 0.922], [0.718, 0.540, 0.290], [0.741, 0.565, 0.612], [0.748, 0.093, 0.443], [0.752, 0.593, 0.943], [0.759, 0.065, 0.112], [0.782, 0.040, 0.790], [0.918, 0.566, 0.422], [0.933, 0.596, 0.768], [0.982, 0.069, 0.414]],
  "dft_energy_ev_per_atom": -6.46,
  "spacegroup": "Aea2 (41)"
}

# 3
{
  "formula": "LiNbCu2Cl",
  "functional": "GGA-PBE",
  "state": "optimized geometry",
  "lattice_angstrom": [[4.616, 0.000, 0.000], [0.000, 4.616, 0.000], [0.000, 0.000, 4.104]],
  "species": ["Li", "Nb", "Cu", "Cu", "Cl"],
  "frac_coords": [[0.000, 0.000, 0.000], [0.500, 0.500, 0.000], [0.000, 0.500, 0.500], [0.500, 0.000, 0.500], [0.000, 0.000, 0.500]],
  "spacegroup": "P4/mmm (123)",
  "raw_formation_energy_ev_per_atom": 0.758
}

# 4
{
  "formula": "Rb2ReBrCl6",
  "functional": "GGA-PBE",
  "state": "optimized geometry",
  "lattice_angstrom": [[6.070, 0.000, 0.000], [1.045, 6.998, 0.000], [2.621, 2.083, 7.805]],
  "species": ["Rb", "Rb", "Re", "Br", "Cl", "Cl", "Cl", "Cl", "Cl", "Cl"],
  "frac_coords": [[0.000, 0.000, 0.000], [0.332, 0.712, 0.568], [0.170, 0.357, 0.285], [0.611, 0.833, 0.822], [0.104, 0.474, 0.014], [0.230, 0.238, 0.562], [0.402, 0.084, 0.198], [0.493, 0.534, 0.191], [0.850, 0.170, 0.388], [0.938, 0.631, 0.372]],
  "spacegroup": "P1 (1)",
  "raw_formation_energy_ev_per_atom": -1.098
}

# 5
{
  "formula": "Pr6TmSc",
  "functional": "GGA-PBE",
  "state": "optimized geometry",
  "lattice_angstrom": [[5.127, 0.000, 0.000], [0.000, 5.127, 0.000], [0.000, 0.000, 10.254]],
  "species": ["Pr", "Pr", "Pr", "Pr", "Pr", "Pr", "Tm", "Sc"],
  "frac_coords": [[0.000, 0.000, 0.000], [0.000, 0.000, 0.500], [0.000, 0.500, 0.246], [0.000, 0.500, 0.754], [0.500, 0.000, 0.246], [0.500, 0.000, 0.754], [0.500, 0.500, 0.500], [0.500, 0.500, 0.000]],
  "spacegroup": "P4/mmm (123)",
  "delta_e_f_ev_per_atom": 0.0262
}

# 6
{
  "formula": "LiTa2HRu",
  "functional": "GGA-PBE",
  "state": "optimized geometry",
  "lattice_angstrom": [[4.214, 0.000, 0.000], [0.000, 4.214, 0.000], [0.000, 0.000, 3.593]],
  "species": ["Li", "Ta", "Ta", "H", "Ru"],
  "frac_coords": [[0.000, 0.000, 0.000], [0.000, 0.500, 0.500], [0.500, 0.000, 0.500], [0.000, 0.000, 0.500], [0.500, 0.500, 0.000]],
  "dft_energy_ev_per_atom": -7.67,
  "spacegroup": "P4/mmm (123)"
}

# 7
{
  "formula": "CrFeRu",
  "functional": "GGA-PBE",
  "state": "optimized geometry",
  "lattice_angstrom": [[2.624, 0.000, 0.000], [-1.312, 2.272, 0.000], [0.000, 0.000, 6.300]],
  "species": ["Cr", "Fe", "Ru"],
  "frac_coords": [[0.000, 0.000, 0.000], [0.333, 0.667, 0.325], [0.667, 0.333, 0.671]],
  "spacegroup": "P3m1 (156)",
  "delta_e_f_ev_per_atom": 0.1852
}

# 8
{
  "formula": "PrHoI4",
  "functional": "GGA-PBE",
  "state": "optimized geometry",
  "lattice_angstrom": [[7.320, 0.000, 0.000], [0.000, 4.178, 0.000], [-2.338, 0.000, 8.087]],
  "species": ["Pr", "Ho", "I", "I", "I", "I"],
  "frac_coords": [[0.000, 0.000, 0.000], [0.500, 0.500, 0.000], [0.262, 0.500, 0.252], [0.267, 0.000, 0.758], [0.733, 0.000, 0.242], [0.738, 0.500, 0.748]],
  "spacegroup": "P2/m (10)",
  "raw_formation_energy_ev_per_atom": -1.241
}

# 9
{
  "formula": "Tm2TlGa2",
  "functional": "GGA-PBE",
  "state": "optimized geometry",
  "lattice_angstrom": [[7.239, 0.000, 0.000], [0.000, 7.239, 0.000], [0.000, 0.000, 4.340]],
  "species": ["Tm", "Tm", "Tm", "Tm", "Tl", "Tl", "Ga", "Ga", "Ga", "Ga"],
  "frac_coords": [[0.171, 0.329, 0.000], [0.329, 0.829, 0.000], [0.671, 0.171, 0.000], [0.829, 0.671, 0.000], [0.000, 0.000, 0.500], [0.500, 0.500, 0.500], [0.124, 0.624, 0.500], [0.376, 0.124, 0.500], [0.624, 0.876, 0.500], [0.876, 0.376, 0.500]],
  "spacegroup": "P4/mbm (127)",
  "delta_e_f_ev_per_atom": -0.4903
}

# 10
{
  "formula": "K5InAu4",
  "functional": "GGA-PBE",
  "state": "optimized geometry",
  "lattice_angstrom": [[7.994, 0.000, 0.000], [0.000, 10.268, 0.000], [0.000, 0.000, 8.582]],
  "species": ["K", "K", "K", "K", "K", "K", "K", "K", "K", "K", "In", "In", "Au", "Au", "Au", "Au", "Au", "Au", "Au", "Au"],
  "frac_coords": [[0.010, 0.051, 0.222], [0.010, 0.449, 0.222], [0.250, 0.750, 0.434], [0.490, 0.051, 0.222], [0.490, 0.449, 0.222], [0.510, 0.551, 0.778], [0.510, 0.949, 0.778], [0.750, 0.250, 0.566], [0.990, 0.551, 0.778], [0.990, 0.949, 0.778], [0.250, 0.250, 0.838], [0.750, 0.750, 0.162], [0.081, 0.750, 0.074], [0.250, 0.110, 0.540], [0.250, 0.390, 0.540], [0.419, 0.750, 0.074], [0.581, 0.250, 0.926], [0.750, 0.610, 0.460], [0.750, 0.890, 0.460], [0.919, 0.250, 0.926]],
  "spacegroup": "Pmmn (59)",
  "delta_e_f_ev_per_atom": -0.2379
}

# 11
{
  "formula": "SrAcP2Pd4",
  "functional": "GGA-PBE",
  "state": "optimized geometry",
  "lattice_angstrom": [[4.209, 0.000, 0.000], [0.000, 4.209, 0.000], [0.000, 0.000, 10.047]],
  "species": ["Sr", "Ac", "P", "P", "Pd", "Pd", "Pd", "Pd"],
  "frac_coords": [[0.000, 0.000, 0.000], [0.000, 0.000, 0.500], [0.500, 0.500, 0.162], [0.500, 0.500, 0.838], [0.000, 0.500, 0.272], [0.000, 0.500, 0.728], [0.500, 0.000, 0.272], [0.500, 0.000, 0.728]],
  "spacegroup": "P4/mmm (123)",
  "delta_e_f_ev_per_atom": -0.7411
}

# 12
{
  "formula": "HfBiSb2I",
  "functional": "GGA-PBE",
  "state": "optimized geometry",
  "lattice_angstrom": [[5.656, 0.000, 0.000], [0.000, 5.656, 0.000], [0.000, 0.000, 5.426]],
  "species": ["Hf", "Bi", "Sb", "Sb", "I"],
  "frac_coords": [[0.000, 0.000, 0.000], [0.500, 0.500, 0.500], [0.000, 0.500, 0.000], [0.500, 0.000, 0.000], [0.000, 0.000, 0.500]],
  "spacegroup": "P4/mmm (123)",
  "raw_formation_energy_ev_per_atom": 0.265
}

Ordered DOS(E_F) results: 8.7 0.0 3.8 3.1 10.7 3.5 3.8 3.4 4.8 8.8 6.1 4.4; unit states/eV per cell.